LiHfTlTe3 | PBE | optimized geometry

Properties
* M_tot: 0.00 μB per formula unit
* energy above the most stable polymorph in this dataset: 10 meV per atom

```
data_LiHfTlTe3
_space_group_name_H-M_alt 'C m c m'
_space_group_IT_number 63
_space_group_name_Hall '-C 2c 2'
_cell_length_a 4.153
_cell_length_b 15.179
_cell_length_c 11.133
_cell_angle_alpha 90.00
_cell_angle_beta 90.00
_cell_angle_gamma 90.00
loop_
_atom_site_label
_atom_site_type_symbol
_atom_site_fract_x
_atom_site_fract_y
_atom_site_fract_z
Li1 Li 0.000 0.048 0.250
Hf1 Hf 0.000 0.500 0.000
Tl1 Tl 0.000 0.244 0.750
Te1 Te 0.000 0.132 0.039
Te2 Te 0.000 0.437 0.250
```

=====

NbCu3TeS3 | PBE | optimized geometry

Properties
* M_tot: 0.00 μB per formula unit
* calculated total energy: -5.124 eV per atom

```
data_NbCu3TeS3
_space_group_name_H-M_alt 'R 3 m'
_space_group_IT_number 160
_space_group_name_Hall 'R 3 -2"'
_cell_length_a 8.0129
_cell_length_b 8.0129
_cell_length_c 9.4335
_cell_angle_alpha 90.00
_cell_angle_beta 90.00
_cell_angle_gamma 120.00
loop_
_atom_site_label
_atom_site_type_symbol
_atom_site_fract_x
_atom_site_fract_y
_atom_site_fract_z
Nb1 Nb 0.0000 0.0000 0.0000
Cu1 Cu 0.1714 0.3428 0.8381
Te1 Te 0.0000 0.0000 0.7181
S1 S 0.0188 0.5094 0.7516
```

=====

Zr3Co4B | PBE | optimized geometry

Properties
* M_tot: 0.07 μB per formula unit
* calculated total energy: -7.747 eV per atom

```
data_Zr3Co4B
_space_group_name_H-M_alt 'P 1 m 1'
_space_group_IT_number 6
_cell_length_a 5.422
_cell_length_b 3.847
_cell_length_c 5.584
_cell_angle_alpha 90.00
_cell_angle_beta 90.02
_cell_angle_gamma 90.00
loop_
_space_group_symop_operation_xyz
'x,y,z'
'x,-y,z'
loop_
_atom_site_label
_atom_site_type_symbol
_atom_site_fract_x
_atom_site_fract_y
_atom_site_fract_z
Zr1 Zr 0.000 0.000 0.000
Zr2 Zr 0.208 0.000 0.500
Zr3 Zr 0.480 0.500 0.996
Co1 Co 0.630 0.000 0.291
Co2 Co 0.634 0.000 0.703
Co3 Co 0.925 0.500 0.277
Co4 Co 0.930 0.500 0.723
B1 B 0.619 0.500 0.501
```

=====

HoLu3Te2C2 | PBE | optimized geometry

Properties
* M_tot: 0.00 μB per formula unit
* calculated total energy: -6.246 eV per atom

```
data_HoLu3Te2C2
_space_group_name_H-M_alt 'P 3 m 1'
_space_group_IT_number 156
_cell_length_a 3.7587
_cell_length_b 3.7587
_cell_length_c 13.7575
_cell_angle_alpha 90.00
_cell_angle_beta 90.00
_cell_angle_gamma 120.00
loop_
_space_group_symop_operation_xyz
'x,y,z'
'-y,x-y,z'
'-x+y,-x,z'
'-y,-x,z'
'-x+y,y,z'
'x,x-y,z'
loop_
_atom_site_label
_atom_site_type_symbol
_atom_site_fract_x
_atom_site_fract_y
_atom_site_fract_z
Ho1 Ho 0.0000 0.0000 0.0000
Lu1 Lu 0.0000 0.0000 0.6830
Lu2 Lu 0.6667 0.3333 0.1858
Lu3 Lu 0.6667 0.3333 0.5008
Te1 Te 0.0000 0.0000 0.3431
Te2 Te 0.6667 0.3333 0.8391
C1 C 0.3333 0.6667 0.0949
C2 C 0.3333 0.6667 0.5919
```

=====

LiAlTcNi | PBE | optimized geometry

Properties
* M_tot: 2.45 μB per formula unit
* energy above the most stable polymorph in this dataset: 0 meV per atom

```
data_LiAlTcNi
_space_group_name_H-M_alt 'F -4 3 m'
_space_group_IT_number 216
_space_group_name_Hall 'F -4 2 3'
_cell_length_a 5.884
_cell_length_b 5.884
_cell_length_c 5.884
_cell_angle_alpha 90.00
_cell_angle_beta 90.00
_cell_angle_gamma 90.00
loop_
_atom_site_label
_atom_site_type_symbol
_atom_site_fract_x
_atom_site_fract_y
_atom_site_fract_z
Li1 Li 0.000 0.000 0.000
Al1 Al 0.250 0.250 0.250
Tc1 Tc 0.250 0.250 0.750
Ni1 Ni 0.000 0.000 0.500
```

=====

ReBr | PBE | optimized geometry

Properties
* M_tot: 0.02 μB per formula unit
* energy above the most stable polymorph in this dataset: 888 meV per atom

```
data_ReBr
_space_group_name_H-M_alt 'P 63/m m c'
_space_group_IT_number 194
_space_group_name_Hall '-P 6c 2c'
_cell_length_a 3.8338
_cell_length_b 3.8338
_cell_length_c 5.8774
_cell_angle_alpha 90.00
_cell_angle_beta 90.00
_cell_angle_gamma 120.00
loop_
_atom_site_label
_atom_site_type_symbol
_atom_site_fract_x
_atom_site_fract_y
_atom_site_fract_z
Re1 Re 0.3333 0.6667 0.2500
Br1 Br 0.0000 0.0000 0.0000
```